First-principles (PBE) data for TiBTeI2 after structural relaxation, as listed in the Alexandria database.

Cell lengths 4.9872, 4.9872, 4.9810 Å; angles 90.00, 90.00, 90.00 degrees
With the nearest neighbours (Å) after each atom.
Space group P4/mmm (No. 123)
Inequivalent atoms, fractional coordinates:
1 Ti 0.0000 0.0000 0.0000 x1  8 I 3.52, 4 Te 3.53
2 B 0.5000 0.5000 0.5000 x1  2 Te 2.49, 4 I 2.49
3 Te 0.5000 0.5000 0.0000 x1  2 B 2.49
4 I 0.0000 0.5000 0.5000 x2  2 B 2.49

Its formation energy without anion corrections is 0.901 eV/atom. The density of states at the Fermi level comes out at 1.64 states/eV/atom. Its energy above the most stable polymorph in this dataset is 133 meV per atom. Its total energy is -16.3 eV/cell. The value obtained for the volume is 24.78 Å³ per atom.